First-principles (GGA+U) data for a geometry-optimized SrMnCr2O8 structure, as listed in Alexandria via LeMat-Bulk.

abc: 5.5512 5.5512 7.0195
angles: 90.00 90.00 120.00
Closest atoms and distances in Å follow each position.
Positions (direct):
Sr 0.0000 0.0000 0.0000  6 O 2.65
Mn 0.0000 0.0000 0.5000  6 O 2.14
Cr 0.6667 0.3333 0.2259  4 O 1.64-1.68
Cr 0.3333 0.6667 0.7741  4 O 1.64-1.68
O 0.3333 0.6667 0.0078  1 Cr 1.64
O 0.3349 0.1685 0.2993  1 Cr 1.68
O 0.8315 0.1664 0.2993  1 Cr 1.68
O 0.6667 0.3333 0.9922  1 Cr 1.64
O 0.1685 0.8336 0.7007  1 Cr 1.68
O 0.6651 0.8315 0.7007  1 Cr 1.68
O 0.1664 0.3349 0.7007  1 Cr 1.68
O 0.8336 0.6651 0.2993  1 Cr 1.68

## Properties
* E_tot: -7.020 eV/atom